A crystal of Mn2CoP relaxed with PBEsol, computed with SCAN.

Output
N(E_F) ... 4.31 states/eV per cell
Symmetry ... No. 71
VASP energy ... -16.096 eV/atom
Formation energy from the elements ... -0.043 eV/atom

Unit cell a=4.660 b=4.660 c=4.660 alpha=146.88 beta=131.20 gamma=60.25
Fractional coordinates of all 4 atoms:
Mn: 0.219 0.219 0.000
Mn: 0.781 0.781 0.000
Co: 0.500 0.000 0.500
P: 0.000 0.500 0.500

***

A crystal of Ba2CuPb relaxed with PBEsol, computed with SCAN.

Output
N(E_F) ... 2.52 states/eV per cell
Symmetry ... No. 25
VASP energy ... -42.821 eV/atom
Formation energy from the elements ... -0.301 eV/atom

Unit cell a=3.961 b=5.901 c=5.909 alpha=90.00 beta=90.00 gamma=90.00
Fractional coordinates of all 4 atoms:
Ba: 0.000 0.000 0.000
Ba: 0.000 0.500 0.492
Cu: 0.500 0.000 0.510
Pb: 0.500 0.500 0.989

***

A crystal of Li4Ti2V3Cr3O16 relaxed with PBEsol, computed with SCAN.

Output
N(E_F) ... 2.35 states/eV per cell
Symmetry ... No. 8
VASP energy ... -11.616 eV/atom
Energy relative to the elements, uncorrected ... -2.725 eV per atom

Unit cell a=5.767 b=5.767 c=9.394 alpha=90.28 beta=90.28 gamma=59.98
Fractional coordinates of all 28 atoms:
Li: 0.000 0.000 0.000
Li: 0.002 0.002 0.500
Li: 0.328 0.328 0.100
Li: 0.663 0.663 0.603
Ti: 0.334 0.334 0.500
Ti: 0.667 0.667 0.998
V: 0.174 0.174 0.775
V: 0.353 0.819 0.278
V: 0.819 0.353 0.278
Cr: 0.168 0.657 0.781
Cr: 0.657 0.168 0.781
Cr: 0.831 0.831 0.282
O: 0.001 0.001 0.689
O: 0.003 0.003 0.190
O: 0.035 0.480 0.653
O: 0.167 0.167 0.394
O: 0.171 0.666 0.397
O: 0.329 0.329 0.892
O: 0.333 0.833 0.895
O: 0.477 0.477 0.657
O: 0.480 0.035 0.653
O: 0.514 0.514 0.150
O: 0.520 0.957 0.156
O: 0.666 0.171 0.397
O: 0.667 0.667 0.396
O: 0.832 0.832 0.898
O: 0.833 0.333 0.895
O: 0.957 0.520 0.156

***

- Which formula does entry 3 have?
  Li4Ti2V3Cr3O16

***

- The lowest N(E_F) belongs to which entry?
  Li4Ti2V3Cr3O16